Model P:
Density functional theory data (PBE-GGA) for a relaxed structure of AsIrSe2O.

abc: 4.839 4.839 4.873
angles: 90.00 90.00 90.00
Site moments in Bohr magnetons follow the coordinates.
Atoms (fractional coordinates):
As1 0.000 0.000 0.500  0.04
Ir1 0.000 0.000 0.000  0.01
O1 0.500 0.500 0.500  -0.07
Se1 0.000 0.500 0.000  -0.01
Se2 0.500 0.000 0.000  -0.01

SG ... P4/mmm (123)
Total magnetization ... 0.0 μB/f.u.

Model Q:
Density functional theory data (PBE-GGA) for a relaxed structure of AsIrSe2O.

abc: 4.392 4.392 4.256
angles: 90.00 90.00 90.00
Atoms (fractional coordinates):
As1 0.000 0.000 0.500
Ir1 0.500 0.500 0.500
O1 0.000 0.000 0.000
Se1 0.000 0.500 0.000
Se2 0.500 0.000 0.000

SG ... P4/mmm (123)
Total magnetization ... 0.0 μB/f.u.

What are the relative energies? In meV per atom: model P 307; model Q 0.

Model P:
Density functional theory data (PBE-GGA) for a relaxed structure of As2IrOs.

abc: 5.509 5.509 6.741
angles: 65.88 65.88 90.00
Atoms (fractional coordinates):
As1 0.622 0.125 0.250
As2 0.128 0.625 0.250
As3 0.375 0.378 0.750
As4 0.875 0.872 0.750
Ir1 0.000 0.000 0.000
Ir2 0.750 0.250 0.500
Os1 0.500 0.500 0.000
Os2 0.250 0.750 0.500

SG ... I-42d (122)
Total magnetization ... 0.0 μB/f.u.

Model Q:
Density functional theory data (PBE-GGA) for a relaxed structure of As2IrOs.

abc: 10.117 10.117 10.117
angles: 16.57 16.57 16.57
Atoms (fractional coordinates):
As1 0.025 0.025 0.025
As2 0.227 0.227 0.227
Ir1 0.496 0.496 0.496
Os1 0.752 0.752 0.752

SG ... R3m (160)
Total magnetization ... 0.0 μB/f.u.

What are the relative energies? In meV per atom: model P 68; model Q 0.

Model P:
Density functional theory data (PBE-GGA) for a relaxed structure of As2IrOs.

abc: 8.070 8.070 8.070
angles: 21.37 21.37 21.37
Atoms (fractional coordinates):
As1 0.002 0.002 0.002
As2 0.498 0.498 0.498
Ir1 0.250 0.250 0.250
Os1 0.750 0.750 0.750

SG ... R-3m (166)
Total magnetization ... 0.0 μB/f.u.

Model Q:
Density functional theory data (PBE-GGA) for a relaxed structure of As2IrOs.

abc: 4.492 4.492 3.030
angles: 90.00 90.00 95.04
Atoms (fractional coordinates):
As1 0.000 0.000 0.000
As2 0.500 0.500 0.000
Ir1 0.500 0.000 0.500
Os1 0.000 0.500 0.500

SG ... Cmmm (65)
Total magnetization ... 0.0 μB/f.u.

What are the relative energies? In meV per atom: model P 0; model Q 186.

Model P:
Density functional theory data (PBE-GGA) for a relaxed structure of As2IrOs.

abc: 2.829 2.829 10.193
angles: 90.00 90.00 120.89
Atoms (fractional coordinates):
As1 0.000 0.000 0.950
As2 0.500 0.500 0.298
Ir1 0.000 0.000 0.512
Os1 0.500 0.500 0.740

SG ... Cmm2 (35)
Total magnetization ... 0.0 μB/f.u.

Model Q:
Density functional theory data (PBE-GGA) for a relaxed structure of As2IrOs.

abc: 4.305 4.305 5.164
angles: 78.43 78.43 40.80
Atoms (fractional coordinates):
As1 0.996 0.996 0.007
As2 0.504 0.504 0.493
Ir1 0.750 0.750 0.750
Os1 0.250 0.250 0.250

SG ... C2/m (12)
Total magnetization ... 0.0 μB/f.u.

What are the relative energies? In meV per atom: model P 166; model Q 0.